An optimized crystal structure of PrFeH3. Source: Alexandria, functional PBE.

a = 3.6651 Å, b = 3.6651 Å, c = 3.6651 Å
α = 90.00°, β = 90.00°, γ = 90.00°
Closest atoms and distances in Å follow each position.
Atoms (fractional coordinates):
Pr1 0.0000 0.0000 0.0000  12 H 2.59
Fe1 0.5000 0.5000 0.5000  6 H 1.83
H1 0.0000 0.5000 0.5000  2 Fe 1.83
H2 0.5000 0.0000 0.5000  2 Fe 1.83
H3 0.5000 0.5000 0.0000  2 Fe 1.83

Space-group type ... Pm-3m, No. 221
Raw total energy ... -4.98 eV per atom
DOS(E_F) ... 0.31 states/eV per atom
Theoretical density ... 6.7 Mg/m³